[1]
VASP calculation (PBE) on an optimized crystal structure of Sm3HoTm5.

Structure (POSCAR):
```
Sm3HoTm5
1.0
8.162 -3.318 0.000
8.162 3.318 0.000
-3.625 0.000 10.674
Sm Ho Tm
6 2 10
direct
0.000 0.000 0.000
0.000 0.000 0.500
0.055 0.297 0.372
0.297 0.055 0.872
0.703 0.945 0.128
0.945 0.703 0.628
0.317 0.683 0.750
0.683 0.317 0.250
0.139 0.394 0.146
0.230 0.770 0.250
0.385 0.400 0.955
0.394 0.139 0.646
0.400 0.385 0.455
0.600 0.615 0.545
0.606 0.861 0.354
0.615 0.600 0.045
0.770 0.230 0.750
0.861 0.606 0.854
```

For the formation energy, the calculation gives 0.180 eV/atom. The energy relative to the lowest polymorph listed for this composition comes out at 0 meV per atom.


[2]
VASP calculation (PBE) on an optimized crystal structure of MnZnTeSe.

Structure (POSCAR):
```
MnZnTeSe
1.0
4.292 0.000 0.000
-2.146 3.717 0.000
0.000 0.000 20.754
Mn Zn Te Se
3 3 3 3
direct
0.000 0.000 0.000
0.333 0.667 0.667
0.667 0.333 0.333
0.000 0.000 0.488
0.333 0.667 0.155
0.667 0.333 0.822
0.000 0.000 0.868
0.333 0.667 0.534
0.667 0.333 0.201
0.000 0.000 0.368
0.333 0.667 0.035
0.667 0.333 0.702
```

The value obtained for the uncorrected formation energy is -9.4 kcal/mol of atoms.


[3]
VASP calculation (PBE) on an optimized crystal structure of TlZnIn4.

Structure (POSCAR):
```
TlZnIn4
1.0
0.000 4.398 4.398
4.398 0.000 4.398
4.398 4.398 0.000
Tl Zn In
1 1 4
direct
0.000 0.000 0.000
0.750 0.750 0.750
0.375 0.375 0.375
0.375 0.375 0.874
0.375 0.874 0.375
0.874 0.375 0.375
```

For the formation energy, the calculation gives 0.175 eV/atom. The energy relative to the lowest polymorph listed for this composition comes out at 144 meV per atom.


[4]
VASP calculation (PBE) on an optimized crystal structure of Dy2Th4Sc.

Structure (POSCAR):
```
Dy2Th4Sc
1.0
3.395 0.000 0.000
0.000 25.959 0.000
0.000 0.000 5.665
Dy Th Sc
4 8 2
direct
0.000 0.190 0.000
0.000 0.810 0.000
0.500 0.310 0.000
0.500 0.690 0.000
0.000 0.116 0.500
0.000 0.426 0.000
0.000 0.574 0.000
0.000 0.884 0.500
0.500 0.074 0.000
0.500 0.384 0.500
0.500 0.616 0.500
0.500 0.926 0.000
0.000 0.500 0.500
0.500 0.000 0.500
```

For the formation energy, the calculation gives 0.408 eV/atom.


[5]
VASP calculation (PBE) on an optimized crystal structure of Sr2CaLa.

Structure (POSCAR):
```
Sr2CaLa
1.0
4.394 0.000 0.000
0.000 6.387 0.000
0.000 0.000 13.033
Sr Ca La
4 2 2
direct
0.000 0.000 0.000
0.000 0.500 0.267
0.500 0.000 0.267
0.500 0.500 0.000
0.000 0.500 0.747
0.500 0.000 0.747
0.000 0.000 0.514
0.500 0.500 0.514
```

For the formation energy, the calculation gives 0.099 eV/atom. The energy relative to the lowest polymorph listed for this composition comes out at 13 meV per atom.


[6]
VASP calculation (PBE) on an optimized crystal structure of NaRuF3.

Structure (POSCAR):
```
NaRuF3
1.0
4.060 0.000 0.000
0.000 4.060 0.000
0.000 0.000 4.060
Na Ru F
1 1 3
direct
0.000 0.000 0.000
0.500 0.500 0.500
0.000 0.000 0.500
0.000 0.500 0.000
0.500 0.000 0.000
```

The value obtained for the uncorrected formation energy is -23.6 kcal/mol of atoms. The energy relative to the lowest polymorph listed for this composition comes out at 508 meV per atom.


[7]
VASP calculation (PBE) on an optimized crystal structure of ZrFe3Sb5.

Structure (POSCAR):
```
ZrFe3Sb5
1.0
8.164 0.000 0.000
-4.082 7.070 0.000
0.000 0.000 6.309
Zr Fe Sb
2 6 10
direct
0.000 0.000 0.000
0.000 0.000 0.500
0.000 0.362 0.250
0.000 0.638 0.750
0.362 0.000 0.250
0.362 0.362 0.750
0.638 0.000 0.750
0.638 0.638 0.250
0.000 0.307 0.750
0.000 0.693 0.250
0.307 0.000 0.750
0.307 0.307 0.250
0.333 0.667 0.000
0.333 0.667 0.500
0.667 0.333 0.000
0.667 0.333 0.500
0.693 0.000 0.250
0.693 0.693 0.750
```

The value obtained for the uncorrected formation energy is 6.3 kcal/mol of atoms.


[8]
VASP calculation (PBE) on an optimized crystal structure of Sc3ZnN.

Structure (POSCAR):
```
Sc3ZnN
1.0
3.659 0.000 0.000
-1.830 3.169 0.000
0.000 0.000 16.616
Sc Zn N
6 2 2
direct
0.000 0.000 0.250
0.000 0.000 0.750
0.333 0.667 0.115
0.333 0.667 0.385
0.667 0.333 0.615
0.667 0.333 0.885
0.000 0.000 0.000
0.000 0.000 0.500
0.333 0.667 0.250
0.667 0.333 0.750
```

The value obtained for the uncorrected formation energy is -15.1 kcal/mol of atoms.


Taking the records one at a time from the top gives total magnetic moment values of 0.00; 5.00; 0.00; 0.00; 0.00; 4.00; 6.80; 0.00 μB/f.u..